1.
Material: RbLiTiSe3
Method: DFT, PBE
State: optimized geometry

abc: 6.9582 7.1654 7.4905
angles: 118.57 90.00 90.00
Atoms (fractional coordinates):
Se: 0.2500 0.2344 0.4688
Rb: 0.2500 0.7436 0.4873
Ti: 0.2500 0.0569 0.1138
Se: 0.5000 0.7609 0.0000
Rb: 0.7500 0.2564 0.5127
Li: 0.7500 0.5701 0.1402
Se: 0.5000 0.2391 0.0000
Se: 0.7500 0.7656 0.5312
Se: 0.0000 0.7609 0.0000
Li: 0.2500 0.4299 0.8598
Ti: 0.7500 0.9431 0.8862
Se: 0.0000 0.2391 0.0000

Summary:
Volume, Å³/cell: 328.0
Space-group type: Cmcm, No. 63
Final energy, eV/atom: -4.7487
ΔE_f (raw), eV/atom: -1.2104



2.
Material: RbLiTlSe
Method: DFT, PBE
State: optimized geometry

abc: 4.4710 4.4710 13.5435
angles: 90.00 90.00 90.00
Atoms (fractional coordinates):
Se: 0.7500 0.7500 0.8969
Li: 0.2500 0.7500 0.0000
Rb: 0.7500 0.7500 0.2051
Tl: 0.7500 0.2500 0.5000
Li: 0.7500 0.2500 0.0000
Se: 0.2500 0.2500 0.1031
Tl: 0.2500 0.7500 0.5000
Rb: 0.2500 0.2500 0.7949

Summary:
Volume, Å³/cell: 270.7
Space-group type: P4/nmm, No. 129
Final energy, eV/atom: -2.9486
ΔE_f (raw), eV/atom: -0.7655



3.
Material: Rb2LiTl2Se4
Method: DFT, PBE
State: optimized geometry

abc: 4.7521 8.2713 7.9098
angles: 104.71 90.00 106.69
Atoms (fractional coordinates):
Se: 0.4955 0.9910 0.2379
Se: 0.2114 0.4227 0.1931
Tl: 0.6499 0.2997 0.0271
Rb: 0.8767 0.7535 0.4410
Se: 0.7886 0.5773 0.8069
Tl: 0.3501 0.7003 0.9729
Se: 0.5045 0.0090 0.7621
Li: 0.0000 0.0000 0.0000
Rb: 0.1233 0.2465 0.5590

Summary:
Volume, Å³/cell: 287.1
Space-group type: C2/m, No. 12
Final energy, eV/atom: -3.1881
ΔE_f (raw), eV/atom: -0.6859



4.
Material: RbLiTm2Se4
Method: DFT, PBE
State: optimized geometry

abc: 4.1696 7.3333 14.5388
angles: 90.00 90.00 106.52
Atoms (fractional coordinates):
Tm: 0.6340 0.2680 0.4381
Se: 0.2621 0.5241 0.3953
Se: 0.0000 0.0000 0.0000
Tm: 0.6340 0.2680 0.0619
Tm: 0.3660 0.7320 0.5619
Se: 0.4229 0.8458 0.7500
Se: 0.7379 0.4759 0.6047
Rb: 0.1085 0.2169 0.7500
Li: 0.1700 0.3400 0.2500
Se: 0.0000 0.0000 0.5000
Se: 0.7379 0.4759 0.8953
Rb: 0.8915 0.7831 0.2500
Tm: 0.3660 0.7320 0.9381
Li: 0.8300 0.6600 0.7500
Se: 0.5771 0.1542 0.2500
Se: 0.2621 0.5241 0.1047

Summary:
Volume, Å³/cell: 426.2
Space-group type: Cmcm, No. 63
Final energy, eV/atom: -4.9010
ΔE_f (raw), eV/atom: -1.6807



5.
Material: RbLiTmSe2
Method: DFT, PBE
State: optimized geometry

abc: 6.1913 7.2712 8.3506
angles: 115.81 90.00 90.00
Atoms (fractional coordinates):
Se: 0.2970 0.1086 0.2172
Li: 0.0000 0.0000 0.0000
Rb: 0.2257 0.7500 0.5000
Rb: 0.7743 0.2500 0.5000
Li: 0.0000 0.5000 0.0000
Se: 0.2970 0.3914 0.7828
Se: 0.7030 0.8914 0.7828
Tm: 0.5000 0.2500 0.0000
Se: 0.7030 0.6086 0.2172
Tm: 0.5000 0.7500 0.0000

Summary:
Volume, Å³/cell: 338.4
Space-group type: Cmme, No. 67
Final energy, eV/atom: -4.0211
ΔE_f (raw), eV/atom: -1.1567



6.
Material: RbLi2USe4
Method: DFT, PBE
State: optimized geometry

abc: 7.3218 6.8082 6.8082
angles: 64.73 57.47 57.47
Atoms (fractional coordinates):
Se: 0.4679 0.1159 0.5326
Rb: 0.0000 0.0000 0.0000
Se: 0.5321 0.4674 0.8841
Li: 0.7499 0.7501 0.7501
Se: 0.8836 0.5326 0.1159
Li: 0.2501 0.2499 0.2499
Se: 0.1164 0.8841 0.4674
U: 0.5000 0.5000 0.5000

Summary:
Volume, Å³/cell: 236.7
Space-group type: I222, No. 23
Final energy, eV/atom: -4.7276
ΔE_f (raw), eV/atom: -0.9749



7.
Material: Rb4LiU3Se8
Method: DFT, PBE
State: optimized geometry

abc: 8.5407 9.3555 8.5407
angles: 117.16 120.00 90.00
Atoms (fractional coordinates):
Se: 0.2349 0.6913 0.4698
Se: 0.7325 0.6975 0.4650
Se: 0.2349 0.6913 0.9564
U: 0.5000 0.5000 0.5000
Li: 0.0000 0.5000 0.0000
Rb: 0.5000 0.0000 0.0000
Se: 0.7651 0.3087 0.0436
Rb: 0.0000 0.0000 0.5000
Se: 0.7216 0.6913 0.9564
Se: 0.7651 0.3087 0.5302
U: 0.0000 0.5000 0.5000
Rb: 0.0000 0.0000 0.0000
Rb: 0.5000 0.0000 0.5000
U: 0.5000 0.5000 0.0000
Se: 0.2784 0.3087 0.0436
Se: 0.2675 0.3025 0.5350

Summary:
Volume, Å³/cell: 502.3
Space-group type: R-3m, No. 166
Final energy, eV/atom: -5.4626
ΔE_f (raw), eV/atom: -1.2423



8.
Material: RbLiU2Se4
Method: DFT, PBE
State: optimized geometry

abc: 4.2263 7.4268 14.7566
angles: 90.00 90.00 106.53
Atoms (fractional coordinates):
U: 0.6321 0.2641 0.4414
U: 0.3679 0.7359 0.9414
U: 0.6321 0.2641 0.0586
Li: 0.8317 0.6633 0.7500
Rb: 0.1066 0.2133 0.7500
Rb: 0.8934 0.7867 0.2500
Se: 0.2632 0.5264 0.1078
Li: 0.1683 0.3367 0.2500
Se: 0.4221 0.8441 0.7500
Se: 0.2632 0.5264 0.3922
Se: 0.5779 0.1559 0.2500
Se: 0.7368 0.4736 0.6078
Se: 0.0000 0.0000 0.0000
Se: 0.7368 0.4736 0.8922
Se: 0.0000 0.0000 0.5000
U: 0.3679 0.7359 0.5586

Summary:
Volume, Å³/cell: 444.0
Space-group type: Cmcm, No. 63
Final energy, eV/atom: -6.1149
ΔE_f (raw), eV/atom: -1.1904